First-principles (PBE-GGA) data for crystalline CdPS2I at its relaxed geometry, as listed in Alexandria.

abc: 4.8953 4.8953 5.3362
angles: 90.00 90.00 90.00
Closest atoms and distances in Å follow each position.
Atoms (fractional coordinates):
Cd 0.0000 0.0000 0.0000  4 S 2.45, 2 P 2.67
P 0.0000 0.0000 0.5000  2 Cd 2.67
S 0.0000 0.5000 0.0000  2 Cd 2.45
S 0.5000 0.0000 0.0000  2 Cd 2.45
I 0.5000 0.5000 0.5000  4 P 3.46, 8 S 3.62

Summary:
Offset from the most stable computed form, meV/atom: 0



First-principles (PBE-GGA) data for crystalline CdPS2I at its relaxed geometry, as listed in Alexandria.

abc: 5.0581 5.0581 5.2883
angles: 90.00 90.00 90.00
Closest atoms and distances in Å follow each position.
Atoms (fractional coordinates):
Cd 0.0000 0.0000 0.0000  4 P 3.58, 8 S 3.66
P 0.5000 0.5000 0.0000  2 I 2.64
S 0.0000 0.5000 0.5000  2 I 2.53
S 0.5000 0.0000 0.5000  2 I 2.53
I 0.5000 0.5000 0.5000  4 S 2.53, 2 P 2.64

Summary:
Offset from the most stable computed form, meV/atom: 75



First-principles (PBE-GGA) data for crystalline CdP2SI at its relaxed geometry, as listed in Alexandria.

abc: 5.1534 5.1534 4.8417
angles: 90.00 90.00 90.00
Closest atoms and distances in Å follow each position.
Atoms (fractional coordinates):
Cd 0.0000 0.0000 0.0000  2 S 2.42, 4 P 2.58
P 0.0000 0.5000 0.0000  2 Cd 2.58
P 0.5000 0.0000 0.0000  2 Cd 2.58
S 0.0000 0.0000 0.5000  2 Cd 2.42
I 0.5000 0.5000 0.5000  8 P 3.54, 4 S 3.64

Summary:
Offset from the most stable computed form, meV/atom: 0



First-principles (PBE-GGA) data for crystalline Cd4PSI2 at its relaxed geometry, as listed in Alexandria.

abc: 8.3952 8.3952 8.3952
angles: 120.09 119.68 90.20
Closest atoms and distances in Å follow each position.
Atoms (fractional coordinates):
Cd 0.2735 0.2393 0.4658  1 P 2.70, 2 S 2.79
Cd 0.2735 0.8077 0.0342  1 P 2.70, 2 S 2.79
Cd 0.2809 0.2351 0.0457  2 P 2.72, 1 S 2.81
Cd 0.3106 0.7649 0.5457  2 P 2.72, 1 S 2.81
Cd 0.6894 0.2351 0.4543  2 P 2.72, 1 S 2.81
Cd 0.7191 0.7649 0.9543  2 P 2.72, 1 S 2.81
Cd 0.7265 0.1923 0.9658  1 P 2.70, 2 S 2.79
Cd 0.7265 0.7607 0.5342  1 P 2.70, 2 S 2.79
P 0.5000 0.0000 0.0000  6 Cd 2.70-2.72
P 0.5000 0.5000 0.5000  6 Cd 2.70-2.72
S 0.0000 0.0000 0.0000  6 Cd 2.79-2.81
S 0.5000 0.0000 0.5000  6 Cd 2.79-2.81
I 0.0000 0.0000 0.5000  6 Cd 3.25-3.26
I 0.0000 0.5000 0.0000  6 Cd 3.25-3.26
I 0.0000 0.5000 0.5000  6 Cd 3.16-3.19
I 0.5000 0.5000 0.0000  6 Cd 3.16-3.19



no.,Fermi-level density of states (states/eV/cell),formation energy from raw total energies (meV/atom),M_tot (μB per atom)
1,6.25,934,0.000
2,5.40,1008,0.079
3,5.87,1104,0.155
4,3.92,-257,0.000